The following is a PBE calculation of a relaxed NaTeW crystal, from the Open Quantum Materials Database.

```
NaTeW
1.0
2.2861 1.3199 3.7332
-2.2861 1.3199 3.7332
0.0000 -2.6398 3.7332
Na Te W
1 1 1
Direct
0.2500 0.2500 0.2500
0.0000 0.0000 0.0000
0.7500 0.7500 0.7500
```

Properties
The calculation puts the distance to the lowest polymorph of the same formula at 0.000 eV per atom. The space-group type is No. 216.

=====

The following is a PBE calculation of a relaxed NaTe5W3 crystal, from the Open Quantum Materials Database.

```
NaTe5W3
1.0
5.8681 0.0000 0.0000
-2.9340 5.0819 0.0000
0.0000 0.0000 8.2924
Na Te W
1 5 3
Direct
0.0000 0.0000 0.0000
0.6667 0.3333 0.2327
0.3333 0.6667 0.2327
0.0000 0.0000 0.5000
0.6667 0.3333 0.7673
0.3333 0.6667 0.7673
0.5000 0.0000 0.5000
0.0000 0.5000 0.5000
0.5000 0.5000 0.5000
```

Properties
The total DFT energy (no corrections) comes out at -5.965 eV per atom. The space-group type is No. 191.

=====

The following is a PBE calculation of a relaxed NaYZnTe3 crystal, from the Open Quantum Materials Database.

```
NaYZnTe3
1.0
8.7925 0.0000 0.0000
0.0000 4.3106 0.0000
-2.7677 0.0000 10.0824
Na Te Y Zn
2 6 2 2
Direct
0.2212 0.2500 0.2564
0.7788 0.7500 0.7436
0.9311 0.7500 0.1477
0.4369 0.7500 0.1597
0.7650 0.2500 0.4632
0.2350 0.7500 0.5368
0.5631 0.2500 0.8403
0.0689 0.2500 0.8523
0.6794 0.2500 0.1451
0.3206 0.7500 0.8549
0.9191 0.7500 0.3972
0.0809 0.2500 0.6028
```

Properties
The calculation puts the distance to the lowest polymorph of the same formula at 0.010 eV per atom. The space-group type is No. 11.

=====

The following is a PBE calculation of a relaxed NaYZnTe3 crystal, from the Open Quantum Materials Database.

```
NaYZnTe3
1.0
-0.0339 -3.4871 2.6756
7.2941 -6.1353 -7.9037
10.5398 4.6132 6.1458
Na Te Y Zn
4 12 4 4
Direct
0.2500 0.8224 0.0091
0.2500 0.3224 0.4909
0.7500 0.6776 0.5091
0.7500 0.1776 0.9909
0.7500 0.5978 0.0669
0.7500 0.9541 0.1439
0.2500 0.2191 0.1762
0.2500 0.7191 0.3238
0.7500 0.4542 0.3561
0.7500 0.0978 0.4331
0.2500 0.9022 0.5669
0.2500 0.5459 0.6439
0.7500 0.2809 0.6762
0.7500 0.7809 0.8238
0.2500 0.0458 0.8561
0.2500 0.4022 0.9331
0.2500 0.4736 0.1871
0.2500 0.9736 0.3129
0.7500 0.0264 0.6871
0.7500 0.5264 0.8129
0.7500 0.7523 0.2074
0.7500 0.2523 0.2926
0.2500 0.7477 0.7074
0.2500 0.2477 0.7926
```

Properties
The calculation puts the distance to the lowest polymorph of the same formula at 0.055 eV per atom. The space-group type is No. 62.

=====

The following is a PBE calculation of a relaxed NaYZnTe3 crystal, from the Open Quantum Materials Database.

```
NaYZnTe3
1.0
-4.8783 -4.1362 9.6789
-2.8954 -2.1236 -2.3668
8.9610 -11.6857 -0.4773
Na Te Y Zn
4 12 4 4
Direct
0.2712 0.7500 0.0136
0.7712 0.7500 0.4864
0.2288 0.2500 0.5137
0.7288 0.2500 0.9864
0.0812 0.2500 0.1070
0.4468 0.2500 0.1141
0.7608 0.7500 0.1662
0.2608 0.7500 0.3338
0.9468 0.2500 0.3859
0.5812 0.2500 0.3930
0.4188 0.7500 0.6070
0.0532 0.7500 0.6141
0.7392 0.2500 0.6662
0.2392 0.2500 0.8338
0.5532 0.7500 0.8859
0.9188 0.7500 0.8930
0.0129 0.7500 0.2456
0.5129 0.7500 0.2544
0.4871 0.2500 0.7456
0.9871 0.2500 0.7544
0.2603 0.2500 0.2196
0.7603 0.2500 0.2804
0.2397 0.7500 0.7196
0.7397 0.7500 0.7804
```

Properties
The calculation puts the distance to the lowest polymorph of the same formula at 0.001 eV per atom. The space-group type is No. 62.

=====

The following is a PBE calculation of a relaxed NaYZnTe3 crystal, from the Open Quantum Materials Database.

```
NaYZnTe3
1.0
-8.8058 -1.6501 -5.3341
-6.0795 -4.4293 -7.2207
-0.8560 -5.4145 6.7390
Na Te Y Zn
2 6 2 2
Direct
0.8817 0.8817 0.4329
0.1183 0.1183 0.5671
0.0000 0.0000 0.0000
0.3251 0.3251 0.1659
0.6710 0.6710 0.3264
0.5000 0.5000 0.5000
0.3290 0.3290 0.6736
0.6749 0.6749 0.8341
0.1725 0.1725 0.0767
0.8275 0.8275 0.9233
0.5400 0.5400 0.2254
0.4600 0.4600 0.7746
```

Properties
The calculation puts the distance to the lowest polymorph of the same formula at 0.110 eV per atom. The space-group type is No. 12.

=====

The following is a PBE calculation of a relaxed NaYZnTe3 crystal, from the Open Quantum Materials Database.

```
NaYZnTe3
1.0
0.4275 4.4926 -6.2320
-0.7923 0.6215 -7.6283
-11.1366 3.0037 1.4014
Na Te Y Zn
2 6 2 2
Direct
0.7627 0.7627 0.2500
0.2373 0.2373 0.7500
0.3605 0.3605 0.0670
0.0830 0.0830 0.2500
0.3605 0.3605 0.4330
0.6395 0.6395 0.5670
0.9170 0.9170 0.7500
0.6395 0.6395 0.9330
0.0000 0.0000 0.0000
0.0000 0.0000 0.5000
0.4687 0.4687 0.2500
0.5313 0.5313 0.7500
```

Properties
The calculation puts the distance to the lowest polymorph of the same formula at 0.000 eV per atom. The space-group type is No. 63.

=====

The following is a PBE calculation of a relaxed NaYZnTe3 crystal, from the Open Quantum Materials Database.

```
NaYZnTe3
1.0
8.7543 0.0000 0.0000
0.0000 4.4320 0.0000
0.0000 0.0000 17.9983
Na Te Y Zn
4 12 4 4
Direct
0.4533 0.2500 0.2115
0.9533 0.2500 0.2885
0.0467 0.7500 0.7115
0.5467 0.7500 0.7885
0.3734 0.7500 0.0624
0.0013 0.2500 0.0815
0.7266 0.7500 0.2155
0.2266 0.7500 0.2845
0.5013 0.2500 0.4185
0.8734 0.7500 0.4376
0.1266 0.2500 0.5624
0.4987 0.7500 0.5815
0.7734 0.2500 0.7155
0.2734 0.2500 0.7845
0.9987 0.7500 0.9185
0.6266 0.2500 0.9376
0.7343 0.7500 0.0452
0.2343 0.7500 0.4548
0.7657 0.2500 0.5452
0.2657 0.2500 0.9548
0.1095 0.7500 0.1518
0.6095 0.7500 0.3482
0.3905 0.2500 0.6518
0.8905 0.2500 0.8482
```

Properties
The calculation puts the distance to the lowest polymorph of the same formula at 0.107 eV per atom. The space-group type is No. 62.

=====

The following is a PBE calculation of a relaxed NaZrZnTe3 crystal, from the Open Quantum Materials Database.

```
NaZrZnTe3
1.0
-1.0979 7.8511 7.6840
-0.6309 -2.8754 2.8478
14.6973 -0.5692 2.6816
Na Te Zn Zr
4 12 4 4
Direct
0.2273 0.7500 0.0157
0.7273 0.7500 0.4843
0.2727 0.2500 0.5157
0.7727 0.2500 0.9843
0.4285 0.2500 0.1065
0.0410 0.2500 0.1192
0.7322 0.7500 0.1642
0.2322 0.7500 0.3358
0.5410 0.2500 0.3808
0.9285 0.2500 0.3935
0.0715 0.7500 0.6065
0.4590 0.7500 0.6192
0.7678 0.2500 0.6642
0.2678 0.2500 0.8358
0.9590 0.7500 0.8808
0.5715 0.7500 0.8935
0.2405 0.2500 0.2187
0.7405 0.2500 0.2813
0.2595 0.7500 0.7187
0.7595 0.7500 0.7813
0.4759 0.7500 0.2441
0.9759 0.7500 0.2559
0.0241 0.2500 0.7441
0.5241 0.2500 0.7559
```

Properties
The total DFT energy (no corrections) comes out at -4.105 eV per atom. The space-group type is No. 62.

=====

The following is a PBE calculation of a relaxed NaZrZnTe3 crystal, from the Open Quantum Materials Database.

```
NaZrZnTe3
1.0
2.0438 -7.4915 0.0000
2.0438 7.4915 0.0000
0.0000 0.0000 10.9862
Na Te Zn Zr
2 6 2 2
Direct
0.7659 0.2341 0.2500
0.2341 0.7659 0.7500
0.3629 0.6371 0.0560
0.0865 0.9135 0.2500
0.3629 0.6371 0.4440
0.6371 0.3629 0.5560
0.9135 0.0865 0.7500
0.6371 0.3629 0.9440
0.4691 0.5309 0.2500
0.5309 0.4691 0.7500
0.0000 0.0000 0.0000
0.0000 0.0000 0.5000
```

Properties
The total DFT energy (no corrections) comes out at -4.105 eV per atom. The space-group type is No. 63.

=====

The following is a PBE calculation of a relaxed Na2ZrTe3 crystal, from the Open Quantum Materials Database.

```
Na2ZrTe3
1.0
-6.4005 1.5797 5.0538
-0.4203 -4.1269 0.7577
8.5128 0.2767 6.2294
Na Te Zr
4 6 2
Direct
0.7642 0.2500 0.2956
0.4310 0.7500 0.4071
0.5690 0.2500 0.5929
0.2358 0.7500 0.7044
0.9241 0.7500 0.1289
0.4144 0.7500 0.1305
0.1950 0.2500 0.4418
0.8050 0.7500 0.5582
0.5856 0.2500 0.8695
0.0759 0.2500 0.8711
0.1826 0.2500 0.1654
0.8174 0.7500 0.8346
```

Properties
The total DFT energy (no corrections) comes out at -4.225 eV per atom. The space-group type is No. 11.

=====

The following is a PBE calculation of a relaxed Na2ZrTe3 crystal, from the Open Quantum Materials Database.

```
Na2ZrTe3
1.0
-8.5653 10.5294 -5.0946
-1.9528 0.2249 3.7481
7.8081 8.0852 3.5830
Na Te Zr
8 12 4
Direct
0.7323 0.7500 0.0457
0.5201 0.2500 0.0873
0.0201 0.2500 0.4127
0.2323 0.7500 0.4543
0.7677 0.2500 0.5457
0.9799 0.7500 0.5873
0.4799 0.7500 0.9127
0.2677 0.2500 0.9543
0.8977 0.2500 0.0597
0.3827 0.7500 0.1441
0.1456 0.2500 0.2215
0.6456 0.2500 0.2785
0.8827 0.7500 0.3559
0.3977 0.2500 0.4403
0.6023 0.7500 0.5597
0.1173 0.2500 0.6441
0.3544 0.7500 0.7215
0.8544 0.7500 0.7785
0.6173 0.2500 0.8559
0.1023 0.7500 0.9403
0.0090 0.7500 0.1705
0.5090 0.7500 0.3295
0.4910 0.2500 0.6705
0.9910 0.2500 0.8295
```

Properties
The total DFT energy (no corrections) comes out at -4.229 eV per atom. The space-group type is No. 62.

=====

The following is a PBE calculation of a relaxed NaZr3Te5 crystal, from the Open Quantum Materials Database.

```
NaZr3Te5
1.0
6.3444 0.0000 0.0000
-3.1722 5.4944 0.0000
0.0000 0.0000 8.4478
Na Te Zr
1 5 3
Direct
0.0000 0.0000 0.0000
0.6667 0.3333 0.2304
0.3333 0.6667 0.2304
0.0000 0.0000 0.5000
0.6667 0.3333 0.7696
0.3333 0.6667 0.7696
0.5000 0.0000 0.5000
0.0000 0.5000 0.5000
0.5000 0.5000 0.5000
```

Properties
The total DFT energy (no corrections) comes out at -5.524 eV per atom. The space-group type is No. 191.

=====

The following is a PBE calculation of a relaxed NaTh crystal, from the Open Quantum Materials Database.

```
NaTh
1.0
2.1128 -3.6594 0.0000
2.1128 3.6594 0.0000
0.0000 0.0000 10.5190
Na Th
2 2
Direct
0.0000 0.0000 0.0417
0.3333 0.6667 0.5412
0.0000 0.0000 0.3335
0.3333 0.6667 0.8336
```

Properties
The calculation puts the distance to the lowest polymorph of the same formula at 1.037 eV per atom. The space-group type is No. 156.

=====

The following is a PBE calculation of a relaxed NaTh crystal, from the Open Quantum Materials Database.

```
NaTh
1.0
3.2048 -3.5684 -1.0862
-1.0317 -4.6672 1.1564
-1.0387 -3.2409 -3.5500
Na Th
1 1
Direct
0.0000 0.0000 0.0000
0.2500 0.2500 0.2500
```

Properties
The calculation puts the distance to the lowest polymorph of the same formula at 1.900 eV per atom. The space-group type is No. 216.

=====

The following is a PBE calculation of a relaxed NaTh crystal, from the Open Quantum Materials Database.

```
NaTh
1.0
-3.1418 -2.8395 1.6030
-2.1124 0.9266 3.8965
-4.3644 1.2063 -0.0219
Na Th
1 1
Direct
0.0000 0.0000 0.0000
0.5000 0.5000 0.5000
```

Properties
The calculation puts the distance to the lowest polymorph of the same formula at 0.928 eV per atom. The space-group type is No. 225.

=====

The following is a PBE calculation of a relaxed NaTh crystal, from the Open Quantum Materials Database.

```
NaTh
1.0
-0.2733 -0.9318 -3.2374
1.7639 -1.9053 2.1638
-5.3777 -3.3636 1.4221
Na Th
1 1
Direct
0.6667 0.3333 0.7500
0.3333 0.6667 0.2500
```

Properties
The calculation puts the distance to the lowest polymorph of the same formula at 0.000 eV per atom. The space-group type is No. 187.

=====

The following is a PBE calculation of a relaxed NaThTl crystal, from the Open Quantum Materials Database.

```
NaThTl
1.0
-0.2842 -4.7384 2.0907
-3.5451 -3.3797 -1.7073
1.4783 -4.1414 -2.7509
Na Th Tl
1 1 1
Direct
0.2500 0.2500 0.2500
0.7500 0.7500 0.7500
0.0000 0.0000 0.0000
```

Properties
The calculation puts the distance to the lowest polymorph of the same formula at 0.000 eV per atom. The space-group type is No. 216.

=====

The following is a PBE calculation of a relaxed NaThTl crystal, from the Open Quantum Materials Database.

```
NaThTl
1.0
1.3367 -4.3320 2.6269
-3.5594 -2.4907 2.9293
-1.8470 -4.6612 -1.5216
Na Th Tl
1 1 1
Direct
0.2500 0.2500 0.2500
0.0000 0.0000 0.0000
0.7500 0.7500 0.7500
```

Properties
The calculation puts the distance to the lowest polymorph of the same formula at 0.358 eV per atom. The space-group type is No. 216.

=====

The following is a PBE calculation of a relaxed NaTmTh crystal, from the Open Quantum Materials Database.

```
NaTmTh
1.0
-4.1986 -2.8906 1.2370
-4.6634 2.3040 0.6768
-3.8179 -0.7216 -3.5237
Na Th Tm
1 1 1
Direct
0.0000 0.0000 0.0000
0.2500 0.2500 0.2500
0.7500 0.7500 0.7500
```

Properties
The calculation puts the distance to the lowest polymorph of the same formula at 0.000 eV per atom. The space-group type is No. 216.

=====

The following is a PBE calculation of a relaxed NaThW crystal, from the Open Quantum Materials Database.

```
NaThW
1.0
-0.6051 -3.2506 3.5628
1.1743 1.1586 4.5722
-3.4937 0.6508 3.3161
Na Th W
1 1 1
Direct
0.2500 0.2500 0.2500
0.0000 0.0000 0.0000
0.7500 0.7500 0.7500
```

Properties
The calculation puts the distance to the lowest polymorph of the same formula at 0.345 eV per atom. The space-group type is No. 216.

=====

The following is a PBE calculation of a relaxed NaThW crystal, from the Open Quantum Materials Database.

```
NaThW
1.0
0.0000 3.4067 3.4067
3.4067 0.0000 3.4067
3.4067 3.4067 0.0000
Na Th W
1 1 1
Direct
0.2500 0.2500 0.2500
0.7500 0.7500 0.7500
0.0000 0.0000 0.0000
```

Properties
The calculation puts the distance to the lowest polymorph of the same formula at 0.000 eV per atom. The space-group type is No. 216.